A relaxed structure of ZrSi2Sb, computed with GGA-PBE.

Summary:
As for the total energy: -6.009 eV/atom. Its density of states at the Fermi level is 2.1 states/eV/cell. Its total magnetic moment is 0.0 μB per cell. The uncorrected formation energy is -3.0 kcal/mol of atoms.

a b c (Å): 3.698 3.698 5.703
angles (deg): 90.00 90.00 90.00
Space group P4/mmm (No. 123)
One atom of each set of equivalent atoms:
Zr 0.000 0.000 0.000 [1 per cell]
Si 0.500 0.500 0.220 [2 per cell]
Sb 0.000 0.000 0.500 [1 per cell]